[1]
MnNiAg2 | PBE-GGA | optimized geometry

a = 9.420 Å, b = 2.934 Å, c = 4.627 Å
α = 90.00°, β = 104.54°, γ = 90.00°
Fractional positions:
Mn 0.000 0.000 0.000
Mn 0.500 0.500 0.000
Ni 0.000 0.500 0.500
Ni 0.500 0.000 0.500
Ag 0.243 0.000 0.744
Ag 0.257 0.500 0.256
Ag 0.743 0.500 0.744
Ag 0.757 0.000 0.256

Output
DOS(E_F) (states/eV/cell): 4.5
ΔH_f (0 K) (eV per atom): 0.24
DFT total energy (eV/atom): -4.92



[2]
MnNi2Ag | PBE-GGA | optimized geometry

a = 2.727 Å, b = 4.043 Å, c = 5.120 Å
α = 90.00°, β = 105.33°, γ = 90.00°
Fractional positions:
Mn 0.000 0.000 0.000
Ni 0.586 0.500 0.183
Ni 0.736 0.000 0.445
Ag 0.341 0.500 0.665

Output
DOS(E_F) (states/eV/cell): 3.4
ΔH_f (0 K) (eV per atom): 0.20
DFT total energy (eV/atom): -5.70



[3]
MnNiAg2 | PBE-GGA | optimized geometry

a = 3.943 Å, b = 3.943 Å, c = 7.846 Å
α = 90.00°, β = 90.00°, γ = 90.00°
Fractional positions:
Mn 0.000 0.000 0.000
Mn 0.500 0.500 0.500
Ni 0.000 0.500 0.750
Ni 0.500 0.000 0.250
Ag 0.000 0.000 0.500
Ag 0.000 0.500 0.250
Ag 0.500 0.000 0.750
Ag 0.500 0.500 0.000

Output
DOS(E_F) (states/eV/cell): 3.9
ΔH_f (0 K) (eV per atom): 0.20
DFT total energy (eV/atom): -4.96



[4]
MnNi2Ag | PBE-GGA | optimized geometry

a = 6.002 Å, b = 6.002 Å, c = 6.002 Å
α = 90.00°, β = 90.00°, γ = 90.00°
Fractional positions:
Mn 0.000 0.000 0.000
Mn 0.000 0.500 0.500
Mn 0.500 0.000 0.500
Mn 0.500 0.500 0.000
Ni 0.000 0.000 0.500
Ni 0.000 0.500 0.000
Ni 0.250 0.250 0.750
Ni 0.250 0.750 0.250
Ni 0.500 0.000 0.000
Ni 0.500 0.500 0.500
Ni 0.750 0.250 0.250
Ni 0.750 0.750 0.750
Ag 0.250 0.250 0.250
Ag 0.250 0.750 0.750
Ag 0.750 0.250 0.750
Ag 0.750 0.750 0.250

Output
DOS(E_F) (states/eV/cell): 16.6
ΔH_f (0 K) (eV per atom): 0.24
DFT total energy (eV/atom): -5.66



[5]
MnNiAg2 | PBE-GGA | optimized geometry

a = 3.899 Å, b = 3.899 Å, c = 4.051 Å
α = 90.00°, β = 90.00°, γ = 90.00°
Fractional positions:
Mn 0.000 0.000 0.000
Ni 0.500 0.500 0.000
Ag 0.000 0.500 0.500
Ag 0.500 0.000 0.500

Output
DOS(E_F) (states/eV/cell): 1.6
ΔH_f (0 K) (eV per atom): 0.22
DFT total energy (eV/atom): -4.95



[6]
MnNi2Ag | PBE-GGA | optimized geometry

a = 2.750 Å, b = 3.573 Å, c = 5.464 Å
α = 90.00°, β = 90.00°, γ = 90.00°
Fractional positions:
Mn 0.000 0.000 0.000
Ni 0.000 0.000 0.441
Ni 0.500 0.500 0.219
Ag 0.500 0.500 0.708

Output
DOS(E_F) (states/eV/cell): 4.0
ΔH_f (0 K) (eV per atom): 0.16
DFT total energy (eV/atom): -5.74



[7]
MnNi3Ag | PBE-GGA | optimized geometry

a = 4.243 Å, b = 4.243 Å, c = 4.243 Å
α = 90.00°, β = 90.00°, γ = 90.00°
Fractional positions:
Mn 0.000 0.000 0.000
Ni 0.000 0.000 0.500
Ni 0.000 0.500 0.000
Ni 0.500 0.000 0.000
Ag 0.500 0.500 0.500

Output
DOS(E_F) (states/eV/cell): 6.9
ΔH_f (0 K) (eV per atom): 1.04
DFT total energy (eV/atom): -4.83



[8]
Mn2Ni2Ag | PBE-GGA | optimized geometry

a = 6.998 Å, b = 6.998 Å, c = 2.790 Å
α = 90.00°, β = 90.00°, γ = 90.00°
Fractional positions:
Mn 0.161 0.339 0.000
Mn 0.339 0.839 0.000
Mn 0.661 0.161 0.000
Mn 0.839 0.661 0.000
Ni 0.132 0.632 0.500
Ni 0.368 0.132 0.500
Ni 0.632 0.868 0.500
Ni 0.868 0.368 0.500
Ag 0.000 0.000 0.500
Ag 0.500 0.500 0.500

Output
DOS(E_F) (states/eV/cell): 6.3
ΔH_f (0 K) (eV per atom): 0.11
DFT total energy (eV/atom): -6.44



[9]
MnNi2Ag | PBE-GGA | optimized geometry

a = 6.678 Å, b = 6.678 Å, c = 5.183 Å
α = 90.00°, β = 90.00°, γ = 90.00°
Fractional positions:
Mn 0.000 0.000 0.000
Mn 0.000 0.500 0.250
Mn 0.500 0.000 0.750
Mn 0.500 0.500 0.500
Ni 0.227 0.250 0.125
Ni 0.250 0.727 0.375
Ni 0.250 0.773 0.875
Ni 0.273 0.250 0.625
Ni 0.727 0.750 0.625
Ni 0.750 0.227 0.875
Ni 0.750 0.273 0.375
Ni 0.773 0.750 0.125
Ag 0.000 0.000 0.500
Ag 0.000 0.500 0.750
Ag 0.500 0.000 0.250
Ag 0.500 0.500 0.000

Output
DOS(E_F) (states/eV/cell): 10.0
ΔH_f (0 K) (eV per atom): 0.50
DFT total energy (eV/atom): -5.40



[10]
MnNi2Ag2 | PBE-GGA | optimized geometry

a = 6.135 Å, b = 6.135 Å, c = 3.989 Å
α = 90.00°, β = 90.00°, γ = 90.00°
Fractional positions:
Mn 0.000 0.000 0.000
Mn 0.500 0.500 0.000
Ni 0.132 0.368 0.000
Ni 0.368 0.868 0.000
Ni 0.632 0.132 0.000
Ni 0.868 0.632 0.000
Ag 0.171 0.671 0.500
Ag 0.329 0.171 0.500
Ag 0.671 0.829 0.500
Ag 0.829 0.329 0.500

Output
DOS(E_F) (states/eV/cell): 7.9
ΔH_f (0 K) (eV per atom): 0.29
DFT total energy (eV/atom): -5.00



[11]
MnNiAg2 | PBE-GGA | optimized geometry

a = 6.281 Å, b = 6.281 Å, c = 6.281 Å
α = 90.00°, β = 90.00°, γ = 90.00°
Fractional positions:
Mn 0.000 0.000 0.000
Mn 0.000 0.500 0.500
Mn 0.500 0.000 0.500
Mn 0.500 0.500 0.000
Ni 0.250 0.250 0.750
Ni 0.250 0.750 0.250
Ni 0.750 0.250 0.250
Ni 0.750 0.750 0.750
Ag 0.000 0.000 0.500
Ag 0.000 0.500 0.000
Ag 0.250 0.250 0.250
Ag 0.250 0.750 0.750
Ag 0.500 0.000 0.000
Ag 0.500 0.500 0.500
Ag 0.750 0.250 0.750
Ag 0.750 0.750 0.250

Output
DOS(E_F) (states/eV/cell): 8.6
ΔH_f (0 K) (eV per atom): 0.25
DFT total energy (eV/atom): -4.92



[12]
MnNi2Ag | PBE-GGA | optimized geometry

a = 4.481 Å, b = 2.761 Å, c = 4.616 Å
α = 90.00°, β = 109.17°, γ = 90.00°
Fractional positions:
Mn 0.000 0.000 0.000
Ni 0.500 0.000 0.500
Ni 0.500 0.500 0.000
Ag 0.000 0.500 0.500

Output
DOS(E_F) (states/eV/cell): 3.4
ΔH_f (0 K) (eV per atom): 0.21
DFT total energy (eV/atom): -5.68



[13]
MnNi2Ag | PBE-GGA | optimized geometry

a = 2.913 Å, b = 2.913 Å, c = 6.390 Å
α = 90.00°, β = 90.00°, γ = 90.00°
Fractional positions:
Mn 0.000 0.000 0.000
Ni 0.000 0.000 0.428
Ni 0.500 0.500 0.219
Ag 0.500 0.500 0.700

Output
DOS(E_F) (states/eV/cell): 5.6
ΔH_f (0 K) (eV per atom): 0.18
DFT total energy (eV/atom): -5.72



[14]
MnNi4Ag | PBE-GGA | optimized geometry

a = 4.753 Å, b = 4.753 Å, c = 4.753 Å
α = 60.00°, β = 60.00°, γ = 60.00°
Fractional positions:
Mn 0.000 0.000 0.000
Ni 0.124 0.625 0.625
Ni 0.625 0.124 0.625
Ni 0.625 0.625 0.124
Ni 0.625 0.625 0.625
Ag 0.250 0.250 0.250

Output
DOS(E_F) (states/eV/cell): 4.7
ΔH_f (0 K) (eV per atom): 0.06
DFT total energy (eV/atom): -5.79



[15]
MnNiAg3 | PBE-GGA | optimized geometry

a = 4.751 Å, b = 4.751 Å, c = 4.751 Å
α = 90.00°, β = 90.00°, γ = 90.00°
Fractional positions:
Mn 0.000 0.000 0.000
Ni 0.500 0.500 0.500
Ag 0.000 0.500 0.500
Ag 0.500 0.000 0.500
Ag 0.500 0.500 0.000

Output
DOS(E_F) (states/eV/cell): 2.8
ΔH_f (0 K) (eV per atom): 0.91
DFT total energy (eV/atom): -3.79



[16]
MnNiAg3 | PBE-GGA | optimized geometry

a = 4.741 Å, b = 4.741 Å, c = 4.741 Å
α = 90.00°, β = 90.00°, γ = 90.00°
Fractional positions:
Mn 0.000 0.000 0.000
Ni 0.500 0.500 0.500
Ag 0.000 0.000 0.500
Ag 0.000 0.500 0.000
Ag 0.500 0.000 0.000

Output
DOS(E_F) (states/eV/cell): 19.1
ΔH_f (0 K) (eV per atom): 1.71
DFT total energy (eV/atom): -2.99



[17]
MnNi2Ag | PBE-GGA | optimized geometry

a = 2.921 Å, b = 2.921 Å, c = 6.224 Å
α = 90.00°, β = 90.00°, γ = 90.00°
Fractional positions:
Mn 0.000 0.000 0.000
Ni 0.500 0.500 0.217
Ni 0.500 0.500 0.783
Ag 0.000 0.000 0.500

Output
DOS(E_F) (states/eV/cell): 3.2
ΔH_f (0 K) (eV per atom): 0.10
DFT total energy (eV/atom): -5.80



[18]
Mn4NiAg | PBE-GGA | optimized geometry

a = 4.732 Å, b = 4.732 Å, c = 4.732 Å
α = 60.00°, β = 60.00°, γ = 60.00°
Fractional positions:
Mn 0.376 0.376 0.376
Mn 0.376 0.376 0.873
Mn 0.376 0.873 0.376
Mn 0.873 0.376 0.376
Ni 0.750 0.750 0.750
Ag 0.000 0.000 0.000

Output
DOS(E_F) (states/eV/cell): 9.1
ΔH_f (0 K) (eV per atom): 0.43
DFT total energy (eV/atom): -7.12



[19]
MnNi2Ag | PBE-GGA | optimized geometry

a = 8.569 Å, b = 2.730 Å, c = 4.703 Å
α = 90.00°, β = 101.62°, γ = 90.00°
Fractional positions:
Mn 0.000 0.000 0.000
Mn 0.500 0.500 0.000
Ni 0.243 0.500 0.228
Ni 0.257 0.000 0.772
Ni 0.743 0.000 0.228
Ni 0.757 0.500 0.772
Ag 0.000 0.500 0.500
Ag 0.500 0.000 0.500

Output
DOS(E_F) (states/eV/cell): 6.5
ΔH_f (0 K) (eV per atom): 0.19
DFT total energy (eV/atom): -5.71



[20]
MnNiAg2 | PBE-GGA | optimized geometry

a = 2.894 Å, b = 2.894 Å, c = 7.337 Å
α = 90.00°, β = 90.00°, γ = 90.00°
Fractional positions:
Mn 0.000 0.000 0.000
Ni 0.500 0.500 0.188
Ag 0.000 0.000 0.438
Ag 0.500 0.500 0.728

Output
DOS(E_F) (states/eV/cell): 1.8
ΔH_f (0 K) (eV per atom): 0.12
DFT total energy (eV/atom): -5.04